Record 1
# Ce2FeTe (PBE, optimized geometry)
data_Ce2FeTe
_chemical_formula_sum 'Ce6 Fe3 Te3'
_symmetry_space_group_name_H-M 'R -3 m'
_symmetry_Int_Tables_number 166
_symmetry_space_group_name_Hall '-R 3 2"'
_cell_length_a 3.9844
_cell_length_b 3.9844
_cell_length_c 22.2008
_cell_angle_alpha 90.00
_cell_angle_beta 90.00
_cell_angle_gamma 120.00
loop_
_atom_site_label
_atom_site_type_symbol
_atom_site_fract_x
_atom_site_fract_y
_atom_site_fract_z
Ce1 Ce 0.0000 0.0000 0.2326
Fe1 Fe 0.0000 0.0000 0.5000
Te1 Te 0.0000 0.0000 0.0000
# - Total magnetic moment: 0.00 μB per formula unit
# - Raw formation energy: -52 kJ/mol of atoms

=====

Record 2
# Ce3FeTe (PBE, optimized geometry)
data_Ce3FeTe
_chemical_formula_sum 'Ce3 Fe1 Te1'
_symmetry_space_group_name_H-M 'P m -3 m'
_symmetry_Int_Tables_number 221
_symmetry_space_group_name_Hall '-P 4 2 3'
_cell_length_a 5.076
_cell_length_b 5.076
_cell_length_c 5.076
_cell_angle_alpha 90.00
_cell_angle_beta 90.00
_cell_angle_gamma 90.00
loop_
_atom_site_label
_atom_site_type_symbol
_atom_site_fract_x
_atom_site_fract_y
_atom_site_fract_z
Ce1 Ce 0.000 0.000 0.500
Fe1 Fe 0.000 0.000 0.000
Te1 Te 0.500 0.500 0.500
# - Total magnetic moment: 2.49 μB per formula unit
# - Raw formation energy: -44 kJ/mol of atoms

=====

Record 3
# Ce2ThFe (PBE, optimized geometry)
data_Ce2ThFe
_chemical_formula_sum 'Ce2 Th1 Fe1'
_symmetry_space_group_name_H-M 'P 4/m m m'
_symmetry_Int_Tables_number 123
_symmetry_space_group_name_Hall '-P 4 2'
_cell_length_a 3.441
_cell_length_b 3.441
_cell_length_c 8.127
_cell_angle_alpha 90.00
_cell_angle_beta 90.00
_cell_angle_gamma 90.00
loop_
_atom_site_label
_atom_site_type_symbol
_atom_site_fract_x
_atom_site_fract_y
_atom_site_fract_z
Ce1 Ce 0.000 0.000 0.201
Th1 Th 0.500 0.500 0.500
Fe1 Fe 0.500 0.500 0.000
# - Total magnetic moment: 0.59 μB per formula unit
# - ΔE to the lowest computed polymorph: 0.55 eV per formula unit

=====

no.,uncorrected energy (eV/atom)
1,-6.4114
2,-6.3369
3,-6.8705